# 1
# Dy2PaCd | the Alexandria database | PBE-GGA | optimized geometry
data_Dy2PaCd
_cell_length_a 3.426
_cell_length_b 3.426
_cell_length_c 9.164
_cell_angle_alpha 90.00
_cell_angle_beta 90.00
_cell_angle_gamma 90.00
_space_group_name_H-M_alt 'P 4/m m m'
_space_group_IT_number 123
_space_group_name_Hall '-P 4 2'
loop_
_atom_site_label
_atom_site_type_symbol
_atom_site_fract_x
_atom_site_fract_y
_atom_site_fract_z
_atom_site_occupancy
Dy1 Dy 0.000 0.000 0.241 1
Pa1 Pa 0.500 0.500 0.500 1
Cd1 Cd 0.500 0.500 0.000 1
# Spin magnetization: 0.1 μB/f.u.
# Calculated volume: 26.89 Å³/atom
# Energy relative to the lowest polymorph listed for this composition: 0.0000 eV/atom



# 2
# DyPaCd4 | the Alexandria database | PBE-GGA | optimized geometry
data_DyPaCd4
_cell_length_a 8.335
_cell_length_b 8.335
_cell_length_c 8.335
_cell_angle_alpha 90.00
_cell_angle_beta 90.00
_cell_angle_gamma 90.00
_space_group_name_H-M_alt 'F -4 3 m'
_space_group_IT_number 216
_space_group_name_Hall 'F -4 2 3'
loop_
_atom_site_label
_atom_site_type_symbol
_atom_site_fract_x
_atom_site_fract_y
_atom_site_fract_z
_atom_site_occupancy
Dy1 Dy 0.000 0.000 0.000 1
Pa1 Pa 0.250 0.250 0.250 1
Cd1 Cd 0.125 0.125 0.625 1
# Spin magnetization: 1.6 μB/f.u.
# Calculated volume: 24.13 Å³/atom



# 3
# Dy2PaCd | the Alexandria database | PBE-GGA | optimized geometry
data_Dy2PaCd
_cell_length_a 3.2554
_cell_length_b 3.2554
_cell_length_c 35.6850
_cell_angle_alpha 90.00
_cell_angle_beta 90.00
_cell_angle_gamma 120.00
_space_group_name_H-M_alt 'R -3 m'
_space_group_IT_number 166
_space_group_name_Hall '-R 3 2"'
loop_
_atom_site_label
_atom_site_type_symbol
_atom_site_fract_x
_atom_site_fract_y
_atom_site_fract_z
_atom_site_occupancy
Dy1 Dy 0.0000 0.0000 0.0905 1
Pa1 Pa 0.0000 0.0000 0.0000 1
Cd1 Cd 0.0000 0.0000 0.5000 1
# Spin magnetization: 0.0 μB/f.u.
# Calculated volume: 27.29 Å³/atom
# Energy relative to the lowest polymorph listed for this composition: 0.2950 eV/atom



no.,formation energy from the elements (eV/f.u.),final energy (hartree per atom)
1,-0.257,-0.1826
2,-0.009,-0.1088
3,0.924,-0.1717